# Ca2PbSe, optimized geometry, DFT PBE-GGA
data_Ca2PbSe
_space_group_name_H-M_alt 'C 1 2/m 1'
_space_group_IT_number 12
_cell_length_a 7.098
_cell_length_b 8.309
_cell_length_c 3.747
_cell_angle_alpha 90.00
_cell_angle_beta 90.14
_cell_angle_gamma 90.00
loop_
_space_group_symop_operation_xyz
'x,y,z'
'-x,-y,-z'
'-x,y,-z'
'x,-y,z'
'x+1/2,y+1/2,z'
'-x+1/2,-y+1/2,-z'
'-x+1/2,y+1/2,-z'
'x+1/2,-y+1/2,z'
loop_
_atom_site_label
_atom_site_type_symbol
_atom_site_fract_x
_atom_site_fract_y
_atom_site_fract_z
_atom_site_occupancy
Ca1 Ca 0.250 0.250 0.000 1
Pb1 Pb 0.000 0.000 0.500 1
Se1 Se 0.000 0.500 0.500 1
# Energy relative to the elements, uncorrected, meV per atom: -919.2